# CaCr3, relaxed, DFT PBE
# E   -6.97 eV/atom
# Spin magnetization   0.0 μB/f.u.
data_CaCr3
_symmetry_space_group_name_H-M 'C m m m'
_symmetry_Int_Tables_number 65
_symmetry_space_group_name_Hall '-C 2 2'
_cell_length_a 3.050
_cell_length_b 4.355
_cell_length_c 8.847
_cell_angle_alpha 90.00
_cell_angle_beta 90.00
_cell_angle_gamma 90.00
loop_
_atom_site_label
_atom_site_type_symbol
_atom_site_fract_x
_atom_site_fract_y
_atom_site_fract_z
Ca1 Ca 0.000 0.000 0.000
Cr1 Cr 0.000 0.000 0.500
Cr2 Cr 0.000 0.500 0.295